1.
## NaSbPb2 (PBE)

Data for crystalline NaSbPb2 at its relaxed geometry.

Lattice parameters (Å, degrees): 8.960 8.960 7.135 51.11 51.11 90.00
Fractional coordinates of all 8 atoms:
1 Pb 0.659 0.125 0.250
2 Pb 0.091 0.625 0.250
3 Pb 0.375 0.341 0.750
4 Pb 0.875 0.909 0.750
5 Sb 0.000 0.000 0.000
6 Sb 0.750 0.250 0.500
7 Na 0.500 0.500 0.000
8 Na 0.250 0.750 0.500

The symmetry is I-42d, No. 122. As for the mass density: 7.05 Mg/m³. The value obtained for the energy relative to the elements, uncorrected is -29 kJ/mol of formula units.


2.
## NaSbPb2 (PBE)

Data for crystalline NaSbPb2 at its relaxed geometry.

Lattice parameters (Å, degrees): 5.879 6.006 6.786 89.21 90.00 90.00
Fractional coordinates of all 8 atoms:
1 Na 0.750 0.369 0.804
2 Na 0.250 0.631 0.196
3 Sb 0.750 0.361 0.303
4 Sb 0.250 0.639 0.697
5 Pb 0.750 0.895 0.063
6 Pb 0.250 0.105 0.937
7 Pb 0.750 0.831 0.554
8 Pb 0.250 0.169 0.446

The symmetry is P2_1/m, No. 11. As for the mass density: 7.75 Mg/m³. The value obtained for the energy relative to the elements, uncorrected is -36 kJ/mol of formula units.


3.
## NaSb2Pb3 (PBE)

Data for crystalline NaSb2Pb3 at its relaxed geometry.

Lattice parameters (Å, degrees): 4.448 9.071 10.503 109.80 90.00 104.19
Fractional coordinates of all 12 atoms:
1 Na 0.886 0.773 0.951
2 Na 0.114 0.227 0.049
3 Sb 0.492 0.984 0.825
4 Sb 0.508 0.016 0.175
5 Sb 0.766 0.532 0.136
6 Sb 0.234 0.468 0.864
7 Pb 0.300 0.600 0.629
8 Pb 0.939 0.877 0.604
9 Pb 0.625 0.250 0.687
10 Pb 0.375 0.750 0.313
11 Pb 0.061 0.123 0.396
12 Pb 0.700 0.400 0.371

The symmetry is C2/m, No. 12. As for the mass density: 7.66 Mg/m³. The value obtained for the energy relative to the elements, uncorrected is -46 kJ/mol of formula units.


4.
## NaSb2Pb2 (PBE)

Data for crystalline NaSb2Pb2 at its relaxed geometry.

Lattice parameters (Å, degrees): 5.052 5.052 7.892 71.33 71.33 90.00
Fractional coordinates of all 5 atoms:
1 Pb 0.750 0.250 0.500
2 Pb 0.250 0.750 0.500
3 Sb 0.391 0.391 0.217
4 Sb 0.609 0.609 0.783
5 Na 0.000 0.000 0.000

The symmetry is I4/mmm, No. 139. As for the mass density: 6.30 Mg/m³. The value obtained for the energy relative to the elements, uncorrected is -16 kJ/mol of formula units.


5.
## NaSb2Pb (PBE)

Data for crystalline NaSb2Pb at its relaxed geometry.

Lattice parameters (Å, degrees): 5.168 5.168 6.585 66.90 66.90 60.00
Fractional coordinates of all 4 atoms:
1 Na 0.679 0.679 0.964
2 Sb 0.084 0.084 0.749
3 Sb 0.246 0.246 0.262
4 Pb 0.492 0.492 0.525

The symmetry is R3m, No. 160. As for the mass density: 5.79 Mg/m³. The value obtained for the energy relative to the elements, uncorrected is -20 kJ/mol of formula units.


6.
## NaSb7Pb12 (PBE)

Data for crystalline NaSb7Pb12 at its relaxed geometry.

Lattice parameters (Å, degrees): 9.568 9.568 9.568 111.03 111.03 111.03
Fractional coordinates of all 20 atoms:
1 Na 0.000 0.000 0.000
2 Sb 0.855 0.515 0.693
3 Sb 0.485 0.307 0.145
4 Sb 0.307 0.145 0.485
5 Sb 0.500 0.500 0.500
6 Sb 0.693 0.855 0.515
7 Sb 0.515 0.693 0.855
8 Sb 0.145 0.485 0.307
9 Pb 0.894 0.267 0.858
10 Pb 0.733 0.142 0.106
11 Pb 0.573 0.088 0.367
12 Pb 0.912 0.633 0.427
13 Pb 0.142 0.106 0.733
14 Pb 0.633 0.427 0.912
15 Pb 0.367 0.573 0.088
16 Pb 0.858 0.894 0.267
17 Pb 0.088 0.367 0.573
18 Pb 0.427 0.912 0.633
19 Pb 0.267 0.858 0.894
20 Pb 0.106 0.733 0.142

The symmetry is R-3, No. 148. As for the mass density: 8.83 Mg/m³. The value obtained for the energy relative to the elements, uncorrected is 57 kJ/mol of formula units.


7.
## Na2SbPb (PBE)

Data for crystalline Na2SbPb at its relaxed geometry.

Lattice parameters (Å, degrees): 5.492 5.492 5.494 60.02 60.02 60.00
Fractional coordinates of all 4 atoms:
1 Na 0.000 0.000 0.000
2 Na 0.250 0.250 0.250
3 Sb 0.750 0.750 0.750
4 Pb 0.500 0.500 0.500

The symmetry is F-43m, No. 216. As for the mass density: 5.31 Mg/m³. The value obtained for the energy relative to the elements, uncorrected is -80 kJ/mol of formula units.


8.
## NaSb2Pb (PBE)

Data for crystalline NaSb2Pb at its relaxed geometry.

Lattice parameters (Å, degrees): 5.291 3.330 13.531 89.94 89.98 90.01
Fractional coordinates of all 8 atoms:
1 Na 0.158 0.248 0.912
2 Na 0.158 0.236 0.412
3 Sb 0.658 0.737 0.520
4 Sb 0.658 0.747 0.020
5 Sb 0.658 0.738 0.304
6 Sb 0.658 0.748 0.804
7 Pb 0.158 0.742 0.662
8 Pb 0.159 0.743 0.162

The symmetry is P2/m, No. 10. As for the mass density: 6.60 Mg/m³. The value obtained for the energy relative to the elements, uncorrected is -52 kJ/mol of formula units.


| no. | N(E_F) (states/eV/cell) |
| --- | --- |
| 1 | 2.9 |
| 2 | 2.8 |
| 3 | 3.5 |
| 4 | 3.7 |
| 5 | 2.8 |
| 6 | 9.4 |
| 7 | 0.8 |
| 8 | 2.6 |